No. 1
Here is an optimized crystal structure of BaTiOs3 from Alexandria via LeMat-Bulk. Energies are from PBE.

## Properties
Calculated total energy ... -7.36 eV/atom
M_tot ... 1.04 Bohr magnetons per cell
Mass density ... 11545 kg/m3
Space-group type ... Pm-3m, No. 221
Formation enthalpy at 0 K ... 1.343 eV per atom

a b c (Å): 4.773 4.773 4.773
angles (deg): 90.00 90.00 90.00
Last column: magnetic moment on the atom in μB.
Atoms (fractional coordinates):
1 Os 0.000 0.500 0.000  0.43
2 Os 0.000 0.000 0.500  0.26
3 Os 0.500 0.000 0.000  0.27
4 Ba 0.500 0.500 0.500  0.01
5 Ti 0.000 0.000 0.000  -0.04

***

No. 2
Here is an optimized crystal structure of TcNiP2Se from Alexandria via LeMat-Bulk. Energies are from PBE.

## Properties
Calculated total energy ... -6.31 eV/atom
Raw formation energy ... -1.09 eV per formula unit
ΔE to the lowest computed polymorph ... 72.1 meV/atom
M_tot ... 0.00 Bohr magnetons per cell
Mass density ... 6145 kg/m3
Space-group type ... Cm, No. 8

a b c (Å): 7.255 3.069 7.250
angles (deg): 90.00 94.95 90.00
Atoms (fractional coordinates):
1 Tc 0.604 0.000 0.778
2 Tc 0.604 0.500 0.278
3 Ni 0.968 0.000 0.681
4 Ni 0.968 0.500 0.181
5 P 0.754 0.000 0.077
6 P 0.754 0.500 0.577
7 P 0.070 0.000 0.396
8 P 0.070 0.500 0.896
9 Se 0.404 0.000 0.453
10 Se 0.404 0.500 0.953

***

No. 3
Here is an optimized crystal structure of NbBiS from Alexandria via LeMat-Bulk. Energies are from PBE.

## Properties
Calculated total energy ... -6.46 eV/atom
Raw formation energy ... -1.32 eV per formula unit
ΔE to the lowest computed polymorph ... 89.7 meV/atom
M_tot ... 0.00 Bohr magnetons per cell
Mass density ... 7288 kg/m3
Space-group type ... Cm, No. 8

a b c (Å): 9.720 3.194 13.541
angles (deg): 90.00 133.61 90.00
Atoms (fractional coordinates):
1 S 0.492 0.000 0.919
2 S 0.492 0.500 0.419
3 S 0.488 0.000 0.164
4 S 0.488 0.500 0.664
5 Nb 0.253 0.000 0.923
6 Nb 0.253 0.500 0.423
7 Nb 0.633 0.000 0.613
8 Nb 0.633 0.500 0.113
9 Bi 0.960 0.000 0.152
10 Bi 0.960 0.500 0.652
11 Bi 0.957 0.000 0.400
12 Bi 0.957 0.500 0.900

***

No. 4
Here is an optimized crystal structure of MnBeAu2 from Alexandria via LeMat-Bulk. Energies are from PBE.

## Properties
Calculated total energy ... -4.53 eV/atom
M_tot ... 7.45 Bohr magnetons per cell
Mass density ... 11446 kg/m3
Space-group type ... I-42d, No. 122
Formation enthalpy at 0 K ... 0.334 eV per atom

a b c (Å): 3.884 3.884 9.226
angles (deg): 77.85 77.85 90.00
Last column: magnetic moment on the atom in μB.
Atoms (fractional coordinates):
1 Be 0.500 0.500 0.000  -0.09
2 Be 0.250 0.750 0.500  -0.09
3 Mn 0.000 0.000 0.000  3.70
4 Mn 0.750 0.250 0.500  3.70
5 Au 0.614 0.125 0.250  0.03
6 Au 0.136 0.625 0.250  0.03
7 Au 0.375 0.386 0.750  0.04
8 Au 0.875 0.864 0.750  0.04

***

No. 5
Here is an optimized crystal structure of PS3I from Alexandria via LeMat-Bulk. Energies are from PBE.

## Properties
Calculated total energy ... -2.40 eV/atom
Raw formation energy ... 7.35 eV per formula unit
ΔE to the lowest computed polymorph ... 1401.3 meV/atom
M_tot ... 1.32 Bohr magnetons per cell
Mass density ... 3210 kg/m3
Space-group type ... Pm-3m, No. 221

a b c (Å): 5.084 5.084 5.084
angles (deg): 90.00 90.00 90.00
Last column: magnetic moment on the atom in μB.
Atoms (fractional coordinates):
1 I 0.000 0.000 0.000  0.00
2 P 0.500 0.500 0.500  0.69
3 S 0.000 0.500 0.000  -0.03
4 S 0.000 0.000 0.500  -0.07
5 S 0.500 0.000 0.000  -0.03

***

No. 6
Here is an optimized crystal structure of K3NpCl7 from Alexandria via LeMat-Bulk. Energies are from PBE.

## Properties
Calculated total energy ... -4.48 eV/atom
Raw formation energy ... -20.15 eV per formula unit
M_tot ... 3.00 Bohr magnetons per cell
Mass density ... 2707 kg/m3
Space-group type ... Cm, No. 8

a b c (Å): 7.299 7.299 8.402
angles (deg): 65.79 65.79 86.21
Last column: magnetic moment on the atom in μB.
Atoms (fractional coordinates):
1 K 0.779 0.242 0.487  0.00
2 K 0.503 0.503 0.018  0.00
3 K 0.242 0.779 0.487  0.00
4 Np 0.957 0.957 0.027  3.15
5 Cl 0.149 0.149 0.137  -0.03
6 Cl 0.643 0.089 0.247  -0.03
7 Cl 0.953 0.321 0.769  -0.03
8 Cl 0.089 0.643 0.247  -0.03
9 Cl 0.632 0.632 0.270  -0.01
10 Cl 0.321 0.953 0.769  -0.03
11 Cl 0.856 0.856 0.792  -0.02

***

No. 7
Here is an optimized crystal structure of TbGePb2 from Alexandria via LeMat-Bulk. Energies are from PBE.

## Properties
Calculated total energy ... -3.95 eV/atom
ΔE to the lowest computed polymorph ... 484.3 meV/atom
M_tot ... 0.00 Bohr magnetons per cell
Mass density ... 8876 kg/m3
Space-group type ... R-3m, No. 166
Formation enthalpy at 0 K ... 0.213 eV per atom

a b c (Å): 3.595 3.595 10.993
angles (deg): 80.59 80.59 60.00
Atoms (fractional coordinates):
1 Pb 0.098 0.098 0.706
2 Pb 0.902 0.902 0.294
3 Ge 0.500 0.500 0.500
4 Tb 0.000 0.000 0.000

***

No. 8
Here is an optimized crystal structure of Th3CSe2 from Alexandria via LeMat-Bulk. Energies are from PBE.

## Properties
Calculated total energy ... -7.33 eV/atom
Raw formation energy ... -5.54 eV per formula unit
ΔE to the lowest computed polymorph ... 255.5 meV/atom
M_tot ... 0.00 Bohr magnetons per cell
Mass density ... 8428 kg/m3
Space-group type ... Cmcm, No. 63

a b c (Å): 5.743 8.527 8.527
angles (deg): 125.19 90.00 90.00
Atoms (fractional coordinates):
1 Th 0.993 0.797 0.542
2 Th 0.493 0.458 0.203
3 Th 0.993 0.542 0.797
4 Th 0.493 0.203 0.458
5 Th 0.493 0.851 0.851
6 Th 0.993 0.149 0.149
7 C 0.994 0.845 0.845
8 C 0.494 0.155 0.155
9 Se 0.493 0.882 0.523
10 Se 0.993 0.477 0.118
11 Se 0.493 0.523 0.882
12 Se 0.993 0.118 0.477

***

No. 9
Here is an optimized crystal structure of LiAcNdLu from Alexandria via LeMat-Bulk. Energies are from PBE.

## Properties
Calculated total energy ... -3.69 eV/atom
M_tot ... 0.00 Bohr magnetons per cell
Mass density ... 7001 kg/m3
Space-group type ... F-43m, No. 216
Formation enthalpy at 0 K ... 0.135 eV per atom

a b c (Å): 5.704 5.704 5.704
angles (deg): 60.00 60.00 60.00
Atoms (fractional coordinates):
1 Ac 0.750 0.750 0.750
2 Lu 0.500 0.500 0.500
3 Nd 0.250 0.250 0.250
4 Li 0.000 0.000 0.000